# 1
Material: BiTePb2
Method: DFT, PBE-GGA
State: relaxed

The structure in CIF format:
```
data_BiTePb2
_space_group_name_H-M_alt 'P 1 2/c 1'
_space_group_IT_number 13
_cell_length_a 6.4763
_cell_length_b 6.6082
_cell_length_c 14.4280
_cell_angle_alpha 90.00
_cell_angle_beta 116.33
_cell_angle_gamma 90.00
loop_
_space_group_symop_operation_xyz
'x,y,z'
'-x,-y,-z'
'-x,y,-z+1/2'
'x,-y,z+1/2'
loop_
_atom_site_label
_atom_site_type_symbol
_atom_site_fract_x
_atom_site_fract_y
_atom_site_fract_z
Bi1 Bi 0.0965 0.1413 0.1040
Te1 Te 0.3823 0.2830 0.8776
Pb1 Pb 0.1195 0.3582 0.6275
Pb2 Pb 0.3813 0.2296 0.3723
```

- DOS(E_F) (states/eV/atom) = 0.325
- size of the total moment (μB per atom) = 0.0000
- raw formation energy (meV/atom) = -124

# 2
Material: PrMgPt
Method: DFT, PBE-GGA
State: relaxed

The structure in CIF format:
```
data_PrMgPt
_space_group_name_H-M_alt 'F -4 3 m'
_space_group_IT_number 216
_space_group_name_Hall 'F -4 2 3'
_cell_length_a 6.8271
_cell_length_b 6.8271
_cell_length_c 6.8271
_cell_angle_alpha 90.00
_cell_angle_beta 90.00
_cell_angle_gamma 90.00
loop_
_atom_site_label
_atom_site_type_symbol
_atom_site_fract_x
_atom_site_fract_y
_atom_site_fract_z
Pr1 Pr 0.0000 0.0000 0.0000
Mg1 Mg 0.0000 0.0000 0.5000
Pt1 Pt 0.2500 0.2500 0.2500
```

- DOS(E_F) (states/eV/atom) = 0.827
- size of the total moment (μB per atom) = 0.0000
- energy of formation from the pure elements (eV/atom) = -0.735

# 3
Material: BaCS
Method: DFT, PBE-GGA
State: relaxed

The structure in CIF format:
```
data_BaCS
_space_group_name_H-M_alt 'C 1 2/m 1'
_space_group_IT_number 12
_cell_length_a 11.3646
_cell_length_b 2.8928
_cell_length_c 9.5927
_cell_angle_alpha 90.00
_cell_angle_beta 106.60
_cell_angle_gamma 90.00
loop_
_space_group_symop_operation_xyz
'x,y,z'
'-x,-y,-z'
'-x,y,-z'
'x,-y,z'
'x+1/2,y+1/2,z'
'-x+1/2,-y+1/2,-z'
'-x+1/2,y+1/2,-z'
'x+1/2,-y+1/2,z'
loop_
_atom_site_label
_atom_site_type_symbol
_atom_site_fract_x
_atom_site_fract_y
_atom_site_fract_z
Ba1 Ba 0.1888 0.0000 0.2018
C1 C 0.2459 0.5000 0.4802
S1 S 0.0944 0.0000 0.8594
```

- DOS(E_F) (states/eV/atom) = 0.148
- size of the total moment (μB per atom) = 0.0000
- raw formation energy (meV/atom) = -31

# 4
Material: GaMo2W
Method: DFT, PBE-GGA
State: relaxed

The structure in CIF format:
```
data_GaMo2W
_space_group_name_H-M_alt 'P 4/m m m'
_space_group_IT_number 123
_space_group_name_Hall '-P 4 2'
_cell_length_a 3.2974
_cell_length_b 3.2974
_cell_length_c 5.7748
_cell_angle_alpha 90.00
_cell_angle_beta 90.00
_cell_angle_gamma 90.00
loop_
_atom_site_label
_atom_site_type_symbol
_atom_site_fract_x
_atom_site_fract_y
_atom_site_fract_z
Ga1 Ga 0.0000 0.0000 0.0000
Mo1 Mo 0.5000 0.5000 0.2441
W1 W 0.0000 0.0000 0.5000
```

- DOS(E_F) (states/eV/atom) = 0.749
- size of the total moment (μB per atom) = 0.0000
- energy of formation from the pure elements (eV/atom) = 0.052

# 5
Material: AcPmAgPb
Method: DFT, PBE-GGA
State: relaxed

The structure in CIF format:
```
data_AcPmAgPb
_space_group_name_H-M_alt 'F -4 3 m'
_space_group_IT_number 216
_space_group_name_Hall 'F -4 2 3'
_cell_length_a 7.9081
_cell_length_b 7.9081
_cell_length_c 7.9081
_cell_angle_alpha 90.00
_cell_angle_beta 90.00
_cell_angle_gamma 90.00
loop_
_atom_site_label
_atom_site_type_symbol
_atom_site_fract_x
_atom_site_fract_y
_atom_site_fract_z
Ac1 Ac 0.0000 0.0000 0.0000
Pm1 Pm 0.0000 0.0000 0.5000
Ag1 Ag 0.2500 0.2500 0.7500
Pb1 Pb 0.2500 0.2500 0.2500
```

- DOS(E_F) (states/eV/atom) = 0.878
- size of the total moment (μB per atom) = 0.1670
- energy of formation from the pure elements (eV/atom) = -0.378

# 6
Material: Pr2Nd3P4
Method: DFT, PBE-GGA
State: relaxed

The structure in CIF format:
```
data_Pr2Nd3P4
_space_group_name_H-M_alt 'C 1 2/m 1'
_space_group_IT_number 12
_cell_length_a 13.7748
_cell_length_b 4.1568
_cell_length_c 10.2028
_cell_angle_alpha 90.00
_cell_angle_beta 119.54
_cell_angle_gamma 90.00
loop_
_space_group_symop_operation_xyz
'x,y,z'
'-x,-y,-z'
'-x,y,-z'
'x,-y,z'
'x+1/2,y+1/2,z'
'-x+1/2,-y+1/2,-z'
'-x+1/2,y+1/2,-z'
'x+1/2,-y+1/2,z'
loop_
_atom_site_label
_atom_site_type_symbol
_atom_site_fract_x
_atom_site_fract_y
_atom_site_fract_z
Pr1 Pr 0.1038 0.0000 0.3918
Nd1 Nd 0.0000 0.5000 0.0000
Nd2 Nd 0.2041 0.5000 0.8094
P1 P 0.1007 0.0000 0.8994
P2 P 0.2020 0.5000 0.3025
```

- DOS(E_F) (states/eV/atom) = 0.568
- size of the total moment (μB per atom) = 0.0479
- energy of formation from the pure elements (eV/atom) = -1.366

# 7
Material: TbTlRe2O8
Method: DFT, PBE-GGA
State: relaxed

The structure in CIF format:
```
data_TbTlRe2O8
_space_group_name_H-M_alt 'P -3'
_space_group_IT_number 147
_cell_length_a 6.0725
_cell_length_b 6.0725
_cell_length_c 7.7660
_cell_angle_alpha 90.00
_cell_angle_beta 90.00
_cell_angle_gamma 120.00
loop_
_space_group_symop_operation_xyz
'x,y,z'
'-x,-y,-z'
'-y,x-y,z'
'y,-x+y,-z'
'-x+y,-x,z'
'x-y,x,-z'
loop_
_atom_site_label
_atom_site_type_symbol
_atom_site_fract_x
_atom_site_fract_y
_atom_site_fract_z
Tb1 Tb 0.0000 0.0000 0.0000
Tl1 Tl 0.0000 0.0000 0.5000
Re1 Re 0.3333 0.6667 0.2562
O1 O 0.1703 0.8275 0.1770
O2 O 0.3333 0.6667 0.4833
```

- DOS(E_F) (states/eV/atom) = 0.569
- size of the total moment (μB per atom) = 0.1661
- raw formation energy (meV/atom) = -1836

# 8
Material: MnNiTe2N
Method: DFT, PBE-GGA
State: relaxed

The structure in CIF format:
```
data_MnNiTe2N
_space_group_name_H-M_alt 'P 4/m m m'
_space_group_IT_number 123
_space_group_name_Hall '-P 4 2'
_cell_length_a 5.1667
_cell_length_b 5.1667
_cell_length_c 3.4068
_cell_angle_alpha 90.00
_cell_angle_beta 90.00
_cell_angle_gamma 90.00
loop_
_atom_site_label
_atom_site_type_symbol
_atom_site_fract_x
_atom_site_fract_y
_atom_site_fract_z
Mn1 Mn 0.0000 0.0000 0.0000
Ni1 Ni 0.5000 0.5000 0.5000
Te1 Te 0.0000 0.5000 0.0000
N1 N 0.0000 0.0000 0.5000
```

- DOS(E_F) (states/eV/atom) = 0.961
- size of the total moment (μB per atom) = 0.1581
- raw formation energy (meV/atom) = 379

# 9
Material: ReAg2Cl
Method: DFT, PBE-GGA
State: relaxed

The structure in CIF format:
```
data_ReAg2Cl
_space_group_name_H-M_alt 'C 1 m 1'
_space_group_IT_number 8
_cell_length_a 13.7383
_cell_length_b 2.8435
_cell_length_c 4.6279
_cell_angle_alpha 90.00
_cell_angle_beta 107.99
_cell_angle_gamma 90.00
loop_
_space_group_symop_operation_xyz
'x,y,z'
'x,-y,z'
'x+1/2,y+1/2,z'
'x+1/2,-y+1/2,z'
loop_
_atom_site_label
_atom_site_type_symbol
_atom_site_fract_x
_atom_site_fract_y
_atom_site_fract_z
Re1 Re 0.0000 0.0000 0.0000
Ag1 Ag 0.3125 0.0000 0.8296
Ag2 Ag 0.4463 0.0000 0.4511
Cl1 Cl 0.1443 0.5000 0.1353
```

- DOS(E_F) (states/eV/atom) = 0.617
- size of the total moment (μB per atom) = 0.0000
- raw formation energy (meV/atom) = 566

# 10
Material: PrYAgGe
Method: DFT, PBE-GGA
State: relaxed

The structure in CIF format:
```
data_PrYAgGe
_space_group_name_H-M_alt 'F -4 3 m'
_space_group_IT_number 216
_space_group_name_Hall 'F -4 2 3'
_cell_length_a 7.3473
_cell_length_b 7.3473
_cell_length_c 7.3473
_cell_angle_alpha 90.00
_cell_angle_beta 90.00
_cell_angle_gamma 90.00
loop_
_atom_site_label
_atom_site_type_symbol
_atom_site_fract_x
_atom_site_fract_y
_atom_site_fract_z
Pr1 Pr 0.0000 0.0000 0.0000
Y1 Y 0.0000 0.0000 0.5000
Ag1 Ag 0.2500 0.2500 0.2500
Ge1 Ge 0.2500 0.2500 0.7500
```

- DOS(E_F) (states/eV/atom) = 0.954
- size of the total moment (μB per atom) = 0.0001
- energy of formation from the pure elements (eV/atom) = -0.521

# 11
Material: TlGa2Co
Method: DFT, PBE-GGA
State: relaxed

The structure in CIF format:
```
data_TlGa2Co
_space_group_name_H-M_alt 'I -4 2 d'
_space_group_IT_number 122
_space_group_name_Hall 'I -4 2bw'
_cell_length_a 4.3285
_cell_length_b 4.3285
_cell_length_c 16.9200
_cell_angle_alpha 90.00
_cell_angle_beta 90.00
_cell_angle_gamma 90.00
loop_
_atom_site_label
_atom_site_type_symbol
_atom_site_fract_x
_atom_site_fract_y
_atom_site_fract_z
Tl1 Tl 0.0000 0.0000 0.0000
Ga1 Ga 0.1549 0.2500 0.6250
Co1 Co 0.0000 0.0000 0.5000
```

- DOS(E_F) (states/eV/atom) = 0.875
- size of the total moment (μB per atom) = 0.2359
- energy of formation from the pure elements (eV/atom) = 0.314

# 12
Material: La2PrY6Ho
Method: DFT, PBE-GGA
State: relaxed

The structure in CIF format:
```
data_La2PrY6Ho
_space_group_name_H-M_alt 'C 1 2/c 1'
_space_group_IT_number 15
_cell_length_a 9.1490
_cell_length_b 15.0393
_cell_length_c 9.9789
_cell_angle_alpha 90.00
_cell_angle_beta 100.72
_cell_angle_gamma 90.00
loop_
_space_group_symop_operation_xyz
'x,y,z'
'-x,-y,-z'
'-x,y,-z+1/2'
'x,-y,z+1/2'
'x+1/2,y+1/2,z'
'-x+1/2,-y+1/2,-z'
'-x+1/2,y+1/2,-z+1/2'
'x+1/2,-y+1/2,z+1/2'
loop_
_atom_site_label
_atom_site_type_symbol
_atom_site_fract_x
_atom_site_fract_y
_atom_site_fract_z
La1 La 0.2396 0.0466 0.0449
Pr1 Pr 0.0000 0.0135 0.7500
Y1 Y 0.0748 0.1918 0.4428
Y2 Y 0.0921 0.3949 0.6165
Y3 Y 0.2026 0.2215 0.8124
Ho1 Ho 0.0000 0.4044 0.2500
```

- DOS(E_F) (states/eV/atom) = 1.521
- size of the total moment (μB per atom) = 0.0000
- energy of formation from the pure elements (eV/atom) = 0.113

# 13
Material: ScBiW2
Method: DFT, PBE-GGA
State: relaxed

The structure in CIF format:
```
data_ScBiW2
_space_group_name_H-M_alt 'I -4 2 d'
_space_group_IT_number 122
_space_group_name_Hall 'I -4 2bw'
_cell_length_a 4.0128
_cell_length_b 4.0128
_cell_length_c 20.9605
_cell_angle_alpha 90.00
_cell_angle_beta 90.00
_cell_angle_gamma 90.00
loop_
_atom_site_label
_atom_site_type_symbol
_atom_site_fract_x
_atom_site_fract_y
_atom_site_fract_z
Sc1 Sc 0.0000 0.0000 0.0000
Bi1 Bi 0.0000 0.0000 0.5000
W1 W 0.2127 0.2500 0.1250
```

- DOS(E_F) (states/eV/atom) = 0.724
- size of the total moment (μB per atom) = 0.0000
- energy of formation from the pure elements (eV/atom) = 0.798